[1]
Na2LiLa: optimized geometry, PBE.

Lattice parameters (Å, degrees): 3.4441 3.4441 12.7922 82.26 82.26 60.00
Atoms (fractional coordinates):
Li1 0.5000 0.5000 0.5000
Na1 0.9077 0.9077 0.2770
Na2 0.0923 0.0923 0.7230
La1 0.0000 0.0000 0.0000

raw total energy	-0.1615	Ry/atom
calculated formation energy	0.690	eV per formula unit
space group	R-3m
crystal system	trigonal
DOS at the Fermi energy	4.6	states/eV per cell
offset from the most stable computed form	0.018	eV per atom

---

[2]
LaAgMoPt: optimized geometry, PBE.

Lattice parameters (Å, degrees): 2.9715 4.8481 5.4629 90.00 93.77 90.00
Atoms (fractional coordinates):
Pt1 0.6574 0.0000 0.4421
Ag1 0.6511 0.5000 0.7605
Mo1 0.0807 0.5000 0.3162
La1 0.1878 0.0000 0.9587

raw total energy	-0.4486	Ry/atom
calculated formation energy	0.237	eV per formula unit
space group	Pm
crystal system	monoclinic
DOS at the Fermi energy	4.2	states/eV per cell
offset from the most stable computed form	0.169	eV per atom

---

[3]
Tb2HgRuC: optimized geometry, PBE.

Lattice parameters (Å, degrees): 3.9248 5.0615 5.0615 90.00 90.00 90.00
Atoms (fractional coordinates):
Tb1 0.0000 0.5000 0.0000
Tb2 0.0000 0.0000 0.5000
Hg1 0.5000 0.5000 0.5000
C1 0.0000 0.0000 0.0000
Ru1 0.5000 0.0000 0.0000

raw total energy	-0.4452	Ry/atom
calculated formation energy	-2.225	eV per formula unit
space group	P4/mmm
crystal system	tetragonal
DOS at the Fermi energy	2.0	states/eV per cell

---

[4]
RbBaTc3: optimized geometry, PBE.

Lattice parameters (Å, degrees): 5.1700 5.1700 5.1700 90.00 90.00 90.00
Atoms (fractional coordinates):
Rb1 0.0000 0.0000 0.0000
Ba1 0.5000 0.5000 0.5000
Tc1 0.0000 0.0000 0.5000
Tc2 0.5000 0.0000 0.0000
Tc3 0.0000 0.5000 0.0000

raw total energy	-0.2962	Ry/atom
calculated formation energy	13.836	eV per formula unit
space group	Pm-3m
crystal system	cubic
DOS at the Fermi energy	3.0	states/eV per cell
offset from the most stable computed form	0.082	eV per atom

---

[5]
CaGa2O4: optimized geometry, PBE.

Lattice parameters (Å, degrees): 7.8496 9.2586 10.4434 90.00 90.00 90.00
Atoms (fractional coordinates):
Ga1 0.3159 0.7506 0.4043
Ga2 0.6922 0.9235 0.6308
Ga3 0.7416 0.4239 0.8499
Ga4 0.2416 0.9239 0.6501
Ga5 0.2847 0.2512 0.6146
Ga6 0.2153 0.2512 0.1146
Ga7 0.2584 0.9239 0.1501
Ga8 0.3078 0.4235 0.3692
Ga9 0.7584 0.4239 0.3499
Ga10 0.8078 0.9235 0.1308
Ga11 0.6841 0.2506 0.5957
Ga12 0.1922 0.4235 0.8692
Ga13 0.7153 0.7512 0.3854
Ga14 0.1841 0.7506 0.9043
Ga15 0.7847 0.7512 0.8854
Ga16 0.8159 0.2506 0.0957
O1 0.8478 0.4205 0.1838
O2 0.4709 0.8996 0.6993
O3 0.0291 0.8996 0.1993
O4 0.7376 0.9299 0.9600
O5 0.2469 0.6011 0.7930
O6 0.7922 0.7564 0.7054
O7 0.7469 0.1011 0.7070
O8 0.2624 0.4299 0.0400
O9 0.3635 0.0936 0.0892
O10 0.1365 0.0936 0.5892
O11 0.5225 0.6877 0.4705
O12 0.1522 0.9205 0.8162
O13 0.8635 0.5936 0.4108
O14 0.1741 0.7735 0.5448
O15 0.6741 0.2735 0.9552
O16 0.7078 0.7564 0.2054
O17 0.2376 0.4299 0.5400
O18 0.4775 0.1877 0.5295
O19 0.2078 0.2564 0.2946
O20 0.9775 0.6877 0.9705
O21 0.7531 0.1011 0.2070
O22 0.3259 0.7735 0.0448
O23 0.7624 0.9299 0.4600
O24 0.2531 0.6011 0.2930
O25 0.5291 0.3996 0.3007
O26 0.6365 0.5936 0.9108
O27 0.9709 0.3996 0.8007
O28 0.0225 0.1877 0.0295
O29 0.2922 0.2564 0.7946
O30 0.6522 0.4205 0.6838
O31 0.3478 0.9205 0.3162
O32 0.8259 0.2735 0.4552
Ca1 0.4931 0.5810 0.1131
Ca2 0.4972 0.6278 0.6821
Ca3 0.5028 0.1278 0.3179
Ca4 0.9972 0.1278 0.8179
Ca5 0.5069 0.0810 0.8869
Ca6 0.0069 0.5810 0.6131
Ca7 0.0028 0.6278 0.1821
Ca8 0.9931 0.0810 0.3869

raw total energy	-0.4573	Ry/atom
space group	Pna2_1
crystal system	orthorhombic
DOS at the Fermi energy	0.0	states/eV per cell
offset from the most stable computed form	0.000	eV per atom

---

[6]
TmCuPb2S4: optimized geometry, PBE.

Lattice parameters (Å, degrees): 3.9659 7.1432 6.8108 70.59 90.00 90.00
Atoms (fractional coordinates):
Tm1 0.0000 0.5000 0.5000
S1 0.0000 0.2925 0.2282
S2 0.5000 0.2803 0.7406
S3 0.0000 0.7075 0.7718
S4 0.5000 0.7197 0.2594
Cu1 0.5000 0.5000 0.0000
Pb1 0.0000 0.0000 0.0000
Pb2 0.5000 0.0000 0.5000

raw total energy	-0.3584	Ry/atom
space group	P2/m
crystal system	monoclinic

---

[7]
PmY4Ho6: optimized geometry, PBE.

Lattice parameters (Å, degrees): 7.5345 7.5345 8.5365 116.19 116.19 90.00
Atoms (fractional coordinates):
Y1 0.7529 0.0863 0.8392
Y2 0.2471 0.2471 0.1608
Y3 0.9137 0.9137 0.1608
Y4 0.0863 0.7529 0.8392
Ho1 0.5000 0.0000 0.0000
Ho2 0.0816 0.0816 0.6340
Ho3 0.5523 0.5523 0.6340
Ho4 0.0000 0.5000 0.0000
Ho5 0.9184 0.4477 0.3660
Ho6 0.4477 0.9184 0.3660
Pm1 0.5000 0.5000 0.0000

raw total energy	-0.3540	Ry/atom
calculated formation energy	5.087	eV per formula unit
space group	I-42m
crystal system	tetragonal
DOS at the Fermi energy	15.4	states/eV per cell
offset from the most stable computed form	0.154	eV per atom